Entry 1:
Computed, not measured: an optimized crystal structure of TbSnPb2 at the PBE level of DFT.

Cell: 4.8510 4.8264 4.8264 Å, 90.00 90.00 90.00°
Element x y z (fractional)
Tb1 0.5000 0.5000 0.5000
Pb1 0.0000 0.0000 0.5000
Pb2 0.0000 0.5000 0.0000
Sn1 0.5000 0.0000 0.0000

Space-group type: P4/mmm
E above lowest polymorph, meV/atom: 0.0
Raw total energy, eV/atom: -4.3461
E_form, eV per atom: -0.334

Entry 2:
Computed, not measured: an optimized crystal structure of Tb5SnPb4 at the PBE level of DFT.

Cell: 6.2965 7.7149 7.7149 Å, 80.41 65.92 65.92°
Element x y z (fractional)
Pb1 0.4033 0.3990 0.7961
Pb2 0.1994 0.2039 0.3990
Pb3 0.5984 0.6010 0.2039
Pb4 0.8023 0.7961 0.6010
Sn1 0.0018 0.0000 0.0000
Tb1 0.9012 0.3950 0.8042
Tb2 0.5018 0.0000 0.0000
Tb3 0.1005 0.6050 0.1958
Tb4 0.7055 0.1958 0.3950
Tb5 0.2962 0.8042 0.6050

Space-group type: I4
Raw total energy, eV/atom: -4.5820
E_form, eV per atom: -0.383

Entry 3:
Computed, not measured: an optimized crystal structure of TbSn2Pb at the PBE level of DFT.

Cell: 4.1627 4.1627 6.4710 Å, 90.00 90.00 90.00°
Element x y z (fractional)
Sn1 0.0000 0.0000 0.2618
Sn2 0.0000 0.0000 0.7382
Tb1 0.5000 0.5000 0.5000
Pb1 0.5000 0.5000 0.0000

Space-group type: P4/mmm
E above lowest polymorph, meV/atom: 57.1
Raw total energy, eV/atom: -4.4093
E_form, eV per atom: -0.323

Entry 4:
Computed, not measured: an optimized crystal structure of TbSn4Pb at the PBE level of DFT.

Cell: 6.2170 6.2170 6.2170 Å, 60.00 60.00 60.00°
Element x y z (fractional)
Sn1 0.6252 0.6252 0.1245
Sn2 0.6252 0.1245 0.6252
Sn3 0.1245 0.6252 0.6252
Sn4 0.6252 0.6252 0.6252
Tb1 0.0000 0.0000 0.0000
Pb1 0.2500 0.2500 0.2500

Space-group type: F-43m
Raw total energy, eV/atom: -4.1757
E_form, eV per atom: -0.117

Entry 5:
Computed, not measured: an optimized crystal structure of Tb2SnPb4 at the PBE level of DFT.

Cell: 6.8108 6.8108 6.6897 Å, 120.82 120.82 89.94°
Element x y z (fractional)
Tb1 0.7856 0.2857 0.5714
Tb2 0.2857 0.7856 0.5714
Pb1 0.7859 0.7859 0.0716
Pb2 0.7856 0.2857 0.0714
Pb3 0.2857 0.7856 0.0714
Pb4 0.2857 0.2857 0.0713
Sn1 0.7858 0.7858 0.5716

Space-group type: C2/m
Raw total energy, eV/atom: -4.2819
E_form, eV per atom: -0.268

Entry 6:
Computed, not measured: an optimized crystal structure of Tb2Sn4Pb at the PBE level of DFT.

Cell: 6.5960 6.5960 6.6129 Å, 119.97 119.97 90.29°
Element x y z (fractional)
Sn1 0.2857 0.2857 0.0713
Sn2 0.7856 0.2857 0.0714
Sn3 0.2857 0.7856 0.0714
Sn4 0.7858 0.7858 0.0716
Pb1 0.7858 0.7858 0.5716
Tb1 0.7856 0.2857 0.5714
Tb2 0.2857 0.7856 0.5714

Space-group type: C2/m
Raw total energy, eV/atom: -4.5028
E_form, eV per atom: -0.363

Entry 7:
Computed, not measured: an optimized crystal structure of Tb2SnPb at the PBE level of DFT.

Cell: 5.4223 5.4223 5.4223 Å, 60.00 60.00 60.00°
Element x y z (fractional)
Tb1 0.7500 0.7500 0.7500
Tb2 0.2500 0.2500 0.2500
Pb1 0.0000 0.0000 0.0000
Sn1 0.5000 0.5000 0.5000

Space-group type: Fm-3m
E above lowest polymorph, meV/atom: 143.5
Raw total energy, eV/atom: -4.7167
E_form, eV per atom: -0.474

Entry 8:
Computed, not measured: an optimized crystal structure of Tb3SnPb at the PBE level of DFT.

Cell: 4.3019 9.1343 9.3471 Å, 90.12 90.00 103.62°
Element x y z (fractional)
Tb1 0.1753 0.3506 0.5626
Tb2 0.7549 0.5097 0.8348
Tb3 0.8247 0.6494 0.4374
Tb4 0.2451 0.4903 0.1652
Tb5 0.9544 0.9088 0.8063
Tb6 0.0456 0.0912 0.1937
Sn1 0.3514 0.7028 0.6683
Sn2 0.6486 0.2972 0.3317
Pb1 0.1218 0.2436 0.8927
Pb2 0.8782 0.7564 0.1073

Space-group type: C2/m
Raw total energy, eV/atom: -4.5746
E_form, eV per atom: -0.254

Entry 9:
Computed, not measured: an optimized crystal structure of TbSn2Pb at the PBE level of DFT.

Cell: 3.5367 5.6940 5.6940 Å, 77.28 90.00 90.00°
Element x y z (fractional)
Pb1 0.5000 0.0000 0.5000
Tb1 0.5000 0.5000 0.0000
Sn1 0.0000 0.5000 0.5000
Sn2 0.0000 0.0000 0.0000

Space-group type: Cmmm
E above lowest polymorph, meV/atom: 62.7
Raw total energy, eV/atom: -4.4037
E_form, eV per atom: -0.318

Entry 10:
Computed, not measured: an optimized crystal structure of TbSn2Pb at the PBE level of DFT.

Cell: 4.6506 4.8464 4.8464 Å, 90.00 90.00 90.00°
Element x y z (fractional)
Sn1 0.0000 0.0000 0.5000
Sn2 0.0000 0.5000 0.0000
Tb1 0.5000 0.5000 0.5000
Pb1 0.5000 0.0000 0.0000

Space-group type: P4/mmm
E above lowest polymorph, meV/atom: 0.0
Raw total energy, eV/atom: -4.4665
E_form, eV per atom: -0.380

Entry 11:
Computed, not measured: an optimized crystal structure of TbSnPb2 at the PBE level of DFT.

Cell: 5.5265 5.5265 5.5292 Å, 60.02 60.02 60.00°
Element x y z (fractional)
Tb1 0.5000 0.5000 0.5000
Sn1 0.0000 0.0000 0.0000
Pb1 0.7500 0.7500 0.7501
Pb2 0.2500 0.2500 0.2499

Space-group type: Fm-3m
E above lowest polymorph, meV/atom: 239.5
Raw total energy, eV/atom: -4.1067
E_form, eV per atom: -0.094

Entry 12:
Computed, not measured: an optimized crystal structure of Tb8Sn5Pb at the PBE level of DFT.

Cell: 8.0956 8.0956 8.0956 Å, 109.49 109.43 109.49°
Element x y z (fractional)
Sn1 0.0013 0.3753 0.1260
Sn2 0.3741 0.1247 0.9987
Sn3 0.7506 0.6247 0.6259
Sn4 0.5000 0.0000 0.5000
Sn5 0.8740 0.8753 0.2494
Tb1 0.6268 0.8932 0.8751
Tb2 0.9819 0.1068 0.7336
Tb3 0.4858 0.6096 0.2371
Tb4 0.2664 0.2483 0.3732
Tb5 0.1249 0.7517 0.0181
Tb6 0.1238 0.7513 0.5142
Tb7 0.6275 0.3904 0.8762
Tb8 0.7629 0.2487 0.3725
Pb1 0.2500 0.5000 0.7500

Space-group type: I-4
Raw total energy, eV/atom: -5.0473
E_form, eV per atom: -0.707